! NaBSbTe2 PBE-GGA relaxed; values from VASP
! ΔE to the lowest computed polymorph   0.00 eV/f.u.
! Raw total energy   -3.2869 eV/atom
! M_tot   0.00 μB/cell
&SYSTEM
  ibrav = 0, nat = 5, ntyp = 4
/
ATOMIC_SPECIES
Na 22.99 Na.upf
B 10.81 B.upf
Sb 121.76 Sb.upf
Te 127.60 Te.upf
ATOMIC_POSITIONS angstrom
Na 0.0000 0.0000 0.0000
B 2.6694 2.6694 2.2489
Sb 2.6694 2.6694 0.0000
Te 0.0000 2.6694 2.2489
Te 2.6694 0.0000 2.2489
CELL_PARAMETERS angstrom
5.3387 0.0000 0.0000
0.0000 5.3387 0.0000
0.0000 0.0000 4.4979